(1)
# Zn3TeS

Crystalline Zn3TeS at its relaxed geometry (PBE, the Alexandria database).

As for the raw total energy: -8.44 eV/cell. The magnetization comes out at 0.00 μB/cell. Its distance to the lowest polymorph of the same formula is 0.473 eV per atom.

The structure belongs to space group Pm-3m (No. 221); the cell edges are 5.196, 5.196 and 5.196 Å and the angles 90.00°, 90.00° and 90.00°. Symmetry generates all atoms from Zn at (0.000, 0.000, 0.500), Te at (0.000, 0.000, 0.000) and S at (0.500, 0.500, 0.500).


(2)
# ZnTe3S

Crystalline ZnTe3S at its relaxed geometry (PBE, the Alexandria database).

As for the raw total energy: -12.05 eV/cell. The magnetization comes out at 0.00 μB/cell. Its distance to the lowest polymorph of the same formula is 0.000 eV per atom.

The structure belongs to space group Pm-3m (No. 221); the cell edges are 5.278, 5.278 and 5.278 Å and the angles 90.00°, 90.00° and 90.00°. Symmetry generates all atoms from Zn at (0.000, 0.000, 0.000), Te at (0.000, 0.500, 0.500) and S at (0.500, 0.500, 0.500).


(3)
# ZnTe3S

Crystalline ZnTe3S at its relaxed geometry (PBE, the Alexandria database).

As for the raw total energy: -11.21 eV/cell. The magnetization comes out at 0.00 μB/cell. Its distance to the lowest polymorph of the same formula is 0.168 eV per atom.

The structure belongs to space group Pm-3m (No. 221); the cell edges are 5.232, 5.232 and 5.232 Å and the angles 90.00°, 90.00° and 90.00°. Symmetry generates all atoms from Zn at (0.000, 0.000, 0.000), Te at (0.000, 0.000, 0.500) and S at (0.500, 0.500, 0.500).


(4)
# Zn3TeS

Crystalline Zn3TeS at its relaxed geometry (PBE, the Alexandria database).

As for the raw total energy: -10.80 eV/cell. The magnetization comes out at 0.00 μB/cell. Its distance to the lowest polymorph of the same formula is 0.000 eV per atom.

The structure belongs to space group Pm-3m (No. 221); the cell edges are 4.791, 4.791 and 4.791 Å and the angles 90.00°, 90.00° and 90.00°. Symmetry generates all atoms from Zn at (0.000, 0.000, 0.500), Te at (0.500, 0.500, 0.500) and S at (0.000, 0.000, 0.000).


(5)
# ZnTe2S

Crystalline ZnTe2S at its relaxed geometry (PBE, the Alexandria database).

As for the raw total energy: -30.06 eV/cell. The magnetization comes out at 0.00 μB/cell. Its distance to the lowest polymorph of the same formula is 0.254 eV per atom.

The structure belongs to space group R-3m (No. 166, hexagonal axes); the cell edges are 3.5158, 3.5158 and 28.5756 Å and the angles 90.00°, 90.00° and 120.00°. Symmetry generates all atoms from Zn at (0.0000, 0.0000, 0.0000), Te at (0.0000, 0.0000, 0.0944) and S at (0.0000, 0.0000, 0.5000).


(6)
# Zn2TeS

Crystalline Zn2TeS at its relaxed geometry (PBE, the Alexandria database).

As for the raw total energy: -35.37 eV/cell. The magnetization comes out at 0.00 μB/cell. Its distance to the lowest polymorph of the same formula is 0.834 eV per atom.

The structure belongs to space group Fm-3m (No. 225); the cell edges are 6.814, 6.814 and 6.814 Å and the angles 90.00°, 90.00° and 90.00°. Symmetry generates all atoms from Zn at (0.250, 0.250, 0.250), Te at (0.000, 0.000, 0.000) and S at (0.000, 0.000, 0.500).